# 1
# ZrNpU2S4 | the Alexandria database | PBE-GGA | optimized geometry
# - Calculated volume: 19.81 Å³/atom
# - Space-group type: No. 10
# - Calculated total energy: -71.62 eV for the cell shown
# - Energy relative to the elements, uncorrected: -1.381 eV per atom
data_ZrNpU2S4
_cell_length_a 6.610
_cell_length_b 3.812
_cell_length_c 6.664
_cell_angle_alpha 90.00
_cell_angle_beta 109.29
_cell_angle_gamma 90.00
_space_group_name_H-M_alt 'P 1'
_space_group_IT_number 1
loop_
_space_group_symop_operation_xyz
'x,y,z'
loop_
_atom_site_label
_atom_site_type_symbol
_atom_site_fract_x
_atom_site_fract_y
_atom_site_fract_z
_atom_site_occupancy
Zr1 Zr 0.000 0.000 0.000 1
Np1 Np 0.500 0.500 0.000 1
U1 U 0.000 0.500 0.500 1
U2 U 0.500 0.000 0.500 1
S1 S 0.241 0.500 0.242 1
S2 S 0.245 0.000 0.756 1
S3 S 0.755 0.000 0.244 1
S4 S 0.759 0.500 0.758 1



# 2
# Np6VS12 | the Alexandria database | PBE-GGA | optimized geometry
# - Calculated volume: 22.78 Å³/atom
# - Space-group type: No. 148
# - Calculated total energy: -160.88 eV for the cell shown
# - Energy relative to the elements, uncorrected: -1.294 eV per atom
data_Np6VS12
_cell_length_a 7.684
_cell_length_b 7.684
_cell_length_c 7.684
_cell_angle_alpha 99.46
_cell_angle_beta 99.46
_cell_angle_gamma 99.46
_space_group_name_H-M_alt 'P 1'
_space_group_IT_number 1
loop_
_space_group_symop_operation_xyz
'x,y,z'
loop_
_atom_site_label
_atom_site_type_symbol
_atom_site_fract_x
_atom_site_fract_y
_atom_site_fract_z
_atom_site_occupancy
Np1 Np 0.127 0.633 0.797 1
Np2 Np 0.203 0.873 0.367 1
Np3 Np 0.367 0.203 0.873 1
Np4 Np 0.633 0.797 0.127 1
Np5 Np 0.797 0.127 0.633 1
Np6 Np 0.873 0.367 0.203 1
V1 V 0.500 0.500 0.500 1
S1 S 0.068 0.323 0.921 1
S2 S 0.079 0.932 0.677 1
S3 S 0.188 0.532 0.436 1
S4 S 0.323 0.921 0.068 1
S5 S 0.436 0.188 0.532 1
S6 S 0.468 0.564 0.812 1
S7 S 0.532 0.436 0.188 1
S8 S 0.564 0.812 0.468 1
S9 S 0.677 0.079 0.932 1
S10 S 0.812 0.468 0.564 1
S11 S 0.921 0.068 0.323 1
S12 S 0.932 0.677 0.079 1



# 3
# Np4VS6 | the Alexandria database | PBE-GGA | optimized geometry
# - Calculated volume: 19.58 Å³/atom
# - Space-group type: No. 167
# - Calculated total energy: -199.32 eV for the cell shown
# - Energy relative to the elements, uncorrected: -1.274 eV per atom
data_Np4VS6
_cell_length_a 7.553
_cell_length_b 7.553
_cell_length_c 7.553
_cell_angle_alpha 90.78
_cell_angle_beta 90.78
_cell_angle_gamma 90.78
_space_group_name_H-M_alt 'P 1'
_space_group_IT_number 1
loop_
_space_group_symop_operation_xyz
'x,y,z'
loop_
_atom_site_label
_atom_site_type_symbol
_atom_site_fract_x
_atom_site_fract_y
_atom_site_fract_z
_atom_site_occupancy
Np1 Np 0.132 0.750 0.368 1
Np2 Np 0.250 0.250 0.250 1
Np3 Np 0.250 0.632 0.868 1
Np4 Np 0.368 0.132 0.750 1
Np5 Np 0.632 0.868 0.250 1
Np6 Np 0.750 0.368 0.132 1
Np7 Np 0.750 0.750 0.750 1
Np8 Np 0.868 0.250 0.632 1
V1 V 0.000 0.000 0.000 1
V2 V 0.500 0.500 0.500 1
S1 S 0.059 0.922 0.691 1
S2 S 0.078 0.309 0.941 1
S3 S 0.191 0.422 0.559 1
S4 S 0.309 0.941 0.078 1
S5 S 0.422 0.559 0.191 1
S6 S 0.441 0.809 0.578 1
S7 S 0.559 0.191 0.422 1
S8 S 0.578 0.441 0.809 1
S9 S 0.691 0.059 0.922 1
S10 S 0.809 0.578 0.441 1
S11 S 0.922 0.691 0.059 1
S12 S 0.941 0.078 0.309 1



# 4
# NpV3S6 | the Alexandria database | PBE-GGA | optimized geometry
# - Calculated volume: 16.78 Å³/atom
# - Space-group type: No. 11
# - Calculated total energy: -149.63 eV for the cell shown
# - Energy relative to the elements, uncorrected: -0.976 eV per atom
data_NpV3S6
_cell_length_a 10.039
_cell_length_b 3.540
_cell_length_c 10.042
_cell_angle_alpha 90.00
_cell_angle_beta 109.90
_cell_angle_gamma 90.00
_space_group_name_H-M_alt 'P 1'
_space_group_IT_number 1
loop_
_space_group_symop_operation_xyz
'x,y,z'
loop_
_atom_site_label
_atom_site_type_symbol
_atom_site_fract_x
_atom_site_fract_y
_atom_site_fract_z
_atom_site_occupancy
Np1 Np 0.205 0.250 0.053 1
Np2 Np 0.795 0.750 0.947 1
V1 V 0.007 0.250 0.675 1
V2 V 0.376 0.250 0.458 1
V3 V 0.423 0.750 0.870 1
V4 V 0.577 0.250 0.130 1
V5 V 0.624 0.750 0.542 1
V6 V 0.993 0.750 0.325 1
S1 S 0.030 0.750 0.866 1
S2 S 0.118 0.250 0.482 1
S3 S 0.232 0.750 0.290 1
S4 S 0.256 0.250 0.798 1
S5 S 0.418 0.750 0.100 1
S6 S 0.432 0.750 0.622 1
S7 S 0.568 0.250 0.378 1
S8 S 0.582 0.250 0.900 1
S9 S 0.744 0.750 0.202 1
S10 S 0.768 0.250 0.710 1
S11 S 0.882 0.750 0.518 1
S12 S 0.970 0.250 0.134 1



# 5
# NpVS2 | the Alexandria database | PBE-GGA | optimized geometry
# - Calculated volume: 24.27 Å³/atom
# - Space-group type: No. 160
# - ΔE to the lowest computed polymorph: 0.0000 eV per atom
# - Calculated total energy: -32.91 eV for the cell shown
# - Energy relative to the elements, uncorrected: -0.648 eV per atom
data_NpVS2
_cell_length_a 7.198
_cell_length_b 7.198
_cell_length_c 7.198
_cell_angle_alpha 32.75
_cell_angle_beta 32.75
_cell_angle_gamma 32.75
_space_group_name_H-M_alt 'P 1'
_space_group_IT_number 1
loop_
_space_group_symop_operation_xyz
'x,y,z'
loop_
_atom_site_label
_atom_site_type_symbol
_atom_site_fract_x
_atom_site_fract_y
_atom_site_fract_z
_atom_site_occupancy
Np1 Np 0.000 0.000 0.000 1
V1 V 0.517 0.517 0.517 1
S1 S 0.399 0.399 0.399 1
S2 S 0.869 0.869 0.869 1



# 6
# NpVS2 | the Alexandria database | PBE-GGA | optimized geometry
# - Calculated volume: 18.20 Å³/atom
# - Space-group type: No. 166
# - ΔE to the lowest computed polymorph: 0.1011 eV per atom
# - Calculated total energy: -32.50 eV for the cell shown
# - Energy relative to the elements, uncorrected: -0.547 eV per atom
data_NpVS2
_cell_length_a 8.814
_cell_length_b 8.814
_cell_length_c 8.814
_cell_angle_alpha 20.40
_cell_angle_beta 20.40
_cell_angle_gamma 20.40
_space_group_name_H-M_alt 'P 1'
_space_group_IT_number 1
loop_
_space_group_symop_operation_xyz
'x,y,z'
loop_
_atom_site_label
_atom_site_type_symbol
_atom_site_fract_x
_atom_site_fract_y
_atom_site_fract_z
_atom_site_occupancy
Np1 Np 0.000 0.000 0.000 1
V1 V 0.500 0.500 0.500 1
S1 S 0.108 0.108 0.108 1
S2 S 0.892 0.892 0.892 1



> Which of these has the lowest energy relative to the elements, uncorrected?

ZrNpU2S4